The following is a DFT calculation (GGA-PBE) of a relaxed structure of La2ZrCdO.

a b c (Å): 5.2355 5.2355 4.3759
angles (deg): 90.00 90.00 90.00
Last column: nearest neighbours and their distance in Å.
Atoms (fractional coordinates):
Cd (0.5000, 0.5000, 0.5000)  8 La 3.41, 4 Zr 3.70
La (0.5000, 0.0000, 0.0000)  2 O 2.62
Zr (0.0000, 0.0000, 0.5000)  2 O 2.19
O (0.0000, 0.0000, 0.0000)  2 Zr 2.19
La (0.0000, 0.5000, 0.0000)  2 O 2.62

Values from the calculation:
Formation energy without anion corrections, eV per atom: -1.17

***

The following is a DFT calculation (GGA-PBE) of a relaxed structure of La4Cd2Os.

a b c (Å): 5.5718 5.5718 8.9143
angles (deg): 108.21 108.21 90.00
Last column: nearest neighbours and their distance in Å.
Atoms (fractional coordinates):
La (0.8229, 0.8229, 0.6459)  1 Os 2.83
La (0.0000, 0.5000, 0.0000)  2 Os 2.79
Cd (0.3774, 0.3774, 0.7548)  5 La 3.20-3.41
Cd (0.6226, 0.6226, 0.2452)  5 La 3.20-3.41
La (0.1771, 0.1771, 0.3541)  1 Os 2.83
La (0.5000, 0.0000, 0.0000)  2 Os 2.79
Os (0.0000, 0.0000, 0.0000)  6 La 2.79-2.83

Values from the calculation:
Energy relative to the lowest polymorph listed for this composition, meV/atom: 137
Energy relative to the elements, eV/atom: -0.10

***

The following is a DFT calculation (GGA-PBE) of a relaxed structure of La6Cd2Os.

a b c (Å): 7.4702 7.5600 10.8779
angles (deg): 90.00 90.27 90.00
Last column: nearest neighbours and their distance in Å.
Atoms (fractional coordinates):
La (0.7915, 0.6997, 0.5406)  1 Os 2.79
La (0.9155, 0.0024, 0.2498)  1 Os 2.79
Os (0.0000, 0.0000, 0.5000)  6 La 2.78-2.79
La (0.7015, 0.2116, 0.5380)  1 Os 2.78
Cd (0.4766, 0.0610, 0.2548)  7 La 3.31-3.68
Cd (0.5234, 0.9390, 0.7452)  7 La 3.31-3.68
La (0.5845, 0.5024, 0.2502)  1 Os 2.79
La (0.7085, 0.1997, 0.9594)  1 Os 2.79
Cd (0.9766, 0.4390, 0.7548)  7 La 3.31-3.68
La (0.2085, 0.3003, 0.4594)  1 Os 2.79
La (0.7985, 0.7116, 0.9620)  1 Os 2.78
La (0.4155, 0.4976, 0.7498)  1 Os 2.79
Cd (0.0234, 0.5610, 0.2452)  7 La 3.31-3.68
Os (0.5000, 0.5000, 0.0000)  6 La 2.78-2.79
La (0.2015, 0.2884, 0.0380)  1 Os 2.78
La (0.2985, 0.7884, 0.4620)  1 Os 2.78
La (0.2915, 0.8003, 0.0406)  1 Os 2.79
La (0.0845, 0.9976, 0.7502)  1 Os 2.79

Values from the calculation:
Energy relative to the lowest polymorph listed for this composition, meV/atom: 0
Energy relative to the elements, eV/atom: -0.17